Entry 1:
A geometry-optimized Ba2TlNiPb6 structure, computed with PBE.

Geometry as CIF:
```
data_Ba2TlNiPb6
_chemical_formula_sum 'Ba12 Tl6 Ni6 Pb36'
_cell_length_a 7.3370
_cell_length_b 7.3370
_cell_length_c 45.1068
_cell_angle_alpha 90.00
_cell_angle_beta 90.00
_cell_angle_gamma 120.00
_space_group_name_H-M_alt 'R -3 m'
_space_group_IT_number 166
_space_group_name_Hall '-R 3 2"'
loop_
_atom_site_label
_atom_site_type_symbol
_atom_site_fract_x
_atom_site_fract_y
_atom_site_fract_z
Ba1 Ba 0.0000 0.0000 0.1152
Ba2 Ba 0.0000 0.0000 0.2781
Tl1 Tl 0.0000 0.0000 0.4224
Ni1 Ni 0.0000 0.0000 0.0000
Ni2 Ni 0.0000 0.0000 0.5000
Pb1 Pb 0.0259 0.5129 0.3036
Pb2 Pb 0.0366 0.5183 0.8628
```

Spin magnetization: 0.0 μB/cell
Density: 8.4 Mg/m³



Entry 2:
A geometry-optimized K2YSi structure, computed with PBE.

Geometry as CIF:
```
data_K2YSi
_chemical_formula_sum 'K2 Y1 Si1'
_cell_length_a 4.1504
_cell_length_b 3.9807
_cell_length_c 10.6539
_cell_angle_alpha 90.00
_cell_angle_beta 101.12
_cell_angle_gamma 90.00
_space_group_name_H-M_alt 'P 1 m 1'
_space_group_IT_number 6
loop_
_space_group_symop_operation_xyz
'x,y,z'
'x,-y,z'
loop_
_atom_site_label
_atom_site_type_symbol
_atom_site_fract_x
_atom_site_fract_y
_atom_site_fract_z
K1 K 0.0000 0.0000 0.0000
K2 K 0.3099 0.5000 0.6165
Y1 Y 0.6526 0.5000 0.3033
Si1 Si 0.1644 0.0000 0.3271
```

Energy relative to the elements, uncorrected: -0.0594 eV/atom
Spin magnetization: 0.0 μB/cell
Density: 1.9 Mg/m³



Entry 3:
A geometry-optimized Tb6Er2Mg structure, computed with PBE.

Geometry as CIF:
```
data_Tb6Er2Mg
_chemical_formula_sum 'Tb24 Er8 Mg4'
_cell_length_a 20.7912
_cell_length_b 9.3579
_cell_length_c 5.8967
_cell_angle_alpha 90.00
_cell_angle_beta 105.99
_cell_angle_gamma 90.00
_space_group_name_H-M_alt 'C 1 2/c 1'
_space_group_IT_number 15
loop_
_space_group_symop_operation_xyz
'x,y,z'
'-x,-y,-z'
'-x,y,-z+1/2'
'x,-y,z+1/2'
'x+1/2,y+1/2,z'
'-x+1/2,-y+1/2,-z'
'-x+1/2,y+1/2,-z+1/2'
'x+1/2,-y+1/2,z+1/2'
loop_
_atom_site_label
_atom_site_type_symbol
_atom_site_fract_x
_atom_site_fract_y
_atom_site_fract_z
Tb1 Tb 0.0790 0.0755 0.4228
Tb2 Tb 0.0800 0.4210 0.2497
Tb3 Tb 0.1691 0.2507 0.9212
Er1 Er 0.2492 0.0807 0.4542
Mg1 Mg 0.0000 0.2544 0.7500
```

Distance to the lowest polymorph of the same formula: 58.2 meV/atom
Spin magnetization: 0.0 μB/cell
Density: 7.9 Mg/m³



Entry 4:
A geometry-optimized TaPt2 structure, computed with PBE.

Geometry as CIF:
```
data_TaPt2
_chemical_formula_sum 'Ta1 Pt2'
_cell_length_a 4.5106
_cell_length_b 4.5106
_cell_length_c 2.7974
_cell_angle_alpha 90.00
_cell_angle_beta 90.00
_cell_angle_gamma 120.00
_space_group_name_H-M_alt 'P -3 m 1'
_space_group_IT_number 164
_space_group_name_Hall '-P 3 2"'
loop_
_atom_site_label
_atom_site_type_symbol
_atom_site_fract_x
_atom_site_fract_y
_atom_site_fract_z
Ta1 Ta 0.0000 0.0000 0.0000
Pt1 Pt 0.3333 0.6667 0.7013
```

Spin magnetization: 0.0 μB/cell
Density: 19.2 Mg/m³



Entry 5:
A geometry-optimized PtRh2Au structure, computed with PBE.

Geometry as CIF:
```
data_PtRh2Au
_chemical_formula_sum 'Pt1 Rh2 Au1'
_cell_length_a 4.7548
_cell_length_b 4.7548
_cell_length_c 2.7668
_cell_angle_alpha 90.00
_cell_angle_beta 90.00
_cell_angle_gamma 90.00
_space_group_name_H-M_alt 'P 4/m m m'
_space_group_IT_number 123
_space_group_name_Hall '-P 4 2'
loop_
_atom_site_label
_atom_site_type_symbol
_atom_site_fract_x
_atom_site_fract_y
_atom_site_fract_z
Pt1 Pt 0.0000 0.0000 0.0000
Rh1 Rh 0.0000 0.5000 0.5000
Au1 Au 0.5000 0.5000 0.0000
```

Distance to the lowest polymorph of the same formula: 116.5 meV/atom
Spin magnetization: 0.0 μB/cell
Density: 15.9 Mg/m³



Entry 6:
A geometry-optimized GaCuPtBr2 structure, computed with PBE.

Geometry as CIF:
```
data_GaCuPtBr2
_chemical_formula_sum 'Ga1 Cu1 Pt1 Br2'
_cell_length_a 5.2148
_cell_length_b 5.2148
_cell_length_c 4.8576
_cell_angle_alpha 90.00
_cell_angle_beta 90.00
_cell_angle_gamma 90.00
_space_group_name_H-M_alt 'P 4/m m m'
_space_group_IT_number 123
_space_group_name_Hall '-P 4 2'
loop_
_atom_site_label
_atom_site_type_symbol
_atom_site_fract_x
_atom_site_fract_y
_atom_site_fract_z
Ga1 Ga 0.0000 0.0000 0.0000
Cu1 Cu 0.5000 0.5000 0.0000
Pt1 Pt 0.5000 0.5000 0.5000
Br1 Br 0.0000 0.5000 0.5000
```

Energy relative to the elements, uncorrected: 0.2049 eV/atom
Spin magnetization: 0.0 μB/cell
Density: 6.1 Mg/m³



Entry 7:
A geometry-optimized Pm6Te3Rh2Pb structure, computed with PBE.

Geometry as CIF:
```
data_Pm6Te3Rh2Pb
_chemical_formula_sum 'Pm12 Te6 Rh4 Pb2'
_cell_length_a 19.4690
_cell_length_b 4.2705
_cell_length_c 9.0520
_cell_angle_alpha 90.00
_cell_angle_beta 106.94
_cell_angle_gamma 90.00
_space_group_name_H-M_alt 'C 1 2/m 1'
_space_group_IT_number 12
loop_
_space_group_symop_operation_xyz
'x,y,z'
'-x,-y,-z'
'-x,y,-z'
'x,-y,z'
'x+1/2,y+1/2,z'
'-x+1/2,-y+1/2,-z'
'-x+1/2,y+1/2,-z'
'x+1/2,-y+1/2,z'
loop_
_atom_site_label
_atom_site_type_symbol
_atom_site_fract_x
_atom_site_fract_y
_atom_site_fract_z
Pm1 Pm 0.0134 0.0000 0.2593
Pm2 Pm 0.1710 0.5000 0.1161
Pm3 Pm 0.1790 0.5000 0.5630
Te1 Te 0.0000 0.5000 0.5000
Te2 Te 0.1606 0.0000 0.8336
Rh1 Rh 0.1693 0.0000 0.3351
Pb1 Pb 0.0000 0.5000 0.0000
```

Energy relative to the elements, uncorrected: -0.9932 eV/atom
Spin magnetization: 0.0 μB/cell
Density: 7.7 Mg/m³



Number 1: E_tot -3.587 eV/atom. Number 2: E_tot -3.580 eV/atom. Number 3: E_tot -4.197 eV/atom. Number 4: E_tot -8.496 eV/atom. Number 5: E_tot -5.831 eV/atom. Number 6: E_tot -3.097 eV/atom. Number 7: E_tot -5.688 eV/atom.